(1)
{"formula": "Na4U3IrN8", "functional": "PBE", "state": "optimized geometry", "cell": [[3.383, 1.953, 5.677], [-3.383, 1.953, 5.677], [0.000, -3.907, 5.677]], "species": ["Na", "Na", "Na", "Na", "U", "U", "U", "Ir", "N", "N", "N", "N", "N", "N", "N", "N"], "fractional_positions": [[0.000, 0.000, 0.000], [0.000, 0.500, 0.500], [0.500, 0.000, 0.500], [0.500, 0.500, 0.000], [0.000, 0.000, 0.500], [0.000, 0.500, 0.000], [0.500, 0.000, 0.000], [0.500, 0.500, 0.500], [0.221, 0.734, 0.734], [0.229, 0.229, 0.229], [0.266, 0.266, 0.779], [0.266, 0.779, 0.266], [0.734, 0.221, 0.734], [0.734, 0.734, 0.221], [0.771, 0.771, 0.771], [0.779, 0.266, 0.266]], "energy_ev_per_atom": -7.908, "formation_energy_uncorrected_ev_per_atom": -0.74}



(2)
{"formula": "Cs3CaCd2I9", "functional": "PBE", "state": "optimized geometry", "cell": [[8.621, 0.000, 0.000], [-4.310, 7.466, 0.000], [0.000, 0.000, 10.562]], "species": ["Cs", "Cs", "Cs", "Ca", "Cd", "Cd", "I", "I", "I", "I", "I", "I", "I", "I", "I"], "fractional_positions": [[0.000, 0.000, 0.000], [0.333, 0.667, 0.670], [0.667, 0.333, 0.330], [0.000, 0.000, 0.500], [0.333, 0.667, 0.164], [0.667, 0.333, 0.836], [0.000, 0.500, 0.000], [0.170, 0.339, 0.329], [0.170, 0.830, 0.329], [0.339, 0.170, 0.671], [0.500, 0.000, 0.000], [0.500, 0.500, 0.000], [0.661, 0.830, 0.329], [0.830, 0.170, 0.671], [0.830, 0.661, 0.671]], "energy_ev_per_atom": -2.501, "formation_energy_uncorrected_ev_per_atom": -1.15}



(3)
{"formula": "TiCo2Tc", "functional": "PBE", "state": "optimized geometry", "cell": [[0.000, 2.978, 2.978], [2.978, 0.000, 2.978], [2.978, 2.978, 0.000]], "species": ["Ti", "Co", "Co", "Tc"], "fractional_positions": [[0.000, 0.000, 0.000], [0.250, 0.250, 0.250], [0.750, 0.750, 0.750], [0.500, 0.500, 0.500]], "energy_ev_per_atom": -8.211, "formation_energy_kj_per_mol_fu": -36}



(4)
{"formula": "TaMnAl3", "functional": "PBE", "state": "optimized geometry", "cell": [[4.386, 0.000, 0.000], [0.000, 4.386, 0.000], [0.000, 0.000, 4.386]], "species": ["Ta", "Mn", "Al", "Al", "Al"], "fractional_positions": [[0.000, 0.000, 0.000], [0.500, 0.500, 0.500], [0.000, 0.500, 0.500], [0.500, 0.000, 0.500], [0.500, 0.500, 0.000]], "energy_ev_per_atom": -5.842, "formation_energy_kj_per_mol_fu": 293}



(5)
{"formula": "Tb4NdAl", "functional": "PBE", "state": "optimized geometry", "cell": [[3.582, 0.000, 0.000], [0.000, 3.582, 0.000], [0.000, 0.000, 14.021]], "species": ["Tb", "Tb", "Tb", "Tb", "Nd", "Al"], "fractional_positions": [[0.000, 0.000, 0.134], [0.000, 0.000, 0.866], [0.500, 0.500, 0.317], [0.500, 0.500, 0.683], [0.000, 0.000, 0.500], [0.500, 0.500, 0.000]], "energy_ev_per_atom": -4.619, "formation_energy_kj_per_mol_fu": -66}



(6)
{"formula": "Th2IrN", "functional": "PBE", "state": "optimized geometry", "cell": [[1.911, 1.103, 6.727], [-1.911, 1.103, 6.727], [0.000, -2.206, 6.727]], "species": ["Th", "Th", "Ir", "N"], "fractional_positions": [[0.241, 0.241, 0.241], [0.759, 0.759, 0.759], [0.000, 0.000, 0.000], [0.500, 0.500, 0.500]], "energy_ev_per_atom": -9.021, "formation_energy_uncorrected_ev_per_atom": -1.01}



(7)
{"formula": "PmInCu5", "functional": "PBE", "state": "optimized geometry", "cell": [[8.389, 0.000, 0.000], [0.000, 5.070, 0.000], [0.000, 0.000, 10.594]], "species": ["Pm", "Pm", "Pm", "Pm", "In", "In", "In", "In", "Cu", "Cu", "Cu", "Cu", "Cu", "Cu", "Cu", "Cu", "Cu", "Cu", "Cu", "Cu", "Cu", "Cu", "Cu", "Cu", "Cu", "Cu", "Cu", "Cu"], "fractional_positions": [[0.246, 0.250, 0.061], [0.254, 0.750, 0.561], [0.746, 0.250, 0.439], [0.754, 0.750, 0.939], [0.138, 0.750, 0.862], [0.362, 0.250, 0.362], [0.638, 0.750, 0.638], [0.862, 0.250, 0.138], [0.055, 0.750, 0.106], [0.068, 0.001, 0.313], [0.068, 0.499, 0.313], [0.082, 0.250, 0.516], [0.184, 0.250, 0.742], [0.316, 0.750, 0.242], [0.418, 0.750, 0.016], [0.432, 0.501, 0.813], [0.432, 0.999, 0.813], [0.445, 0.250, 0.606], [0.555, 0.750, 0.394], [0.568, 0.001, 0.187], [0.568, 0.499, 0.187], [0.582, 0.250, 0.984], [0.684, 0.250, 0.758], [0.816, 0.750, 0.258], [0.918, 0.750, 0.484], [0.932, 0.501, 0.687], [0.932, 0.999, 0.687], [0.945, 0.250, 0.894]], "energy_ev_per_atom": -4.210, "formation_energy_kj_per_mol_fu": -145}



Summary of M_tot in μB per formula unit
1.0 0.0 4.2 0.0 0.0 0.0 0.0
(order as listed above)